Record 1
Compound: La2AgRu
Source: Alexandria via LeMat-Bulk
Functional: PBE
Structure: optimized geometry

Output
Its space group is F-43m, No. 216.

a b c (Å): 5.016 5.016 5.016
angles (deg): 60.00 60.00 60.00
Sites, in units of the cell vectors:
Ag (0.500, 0.500, 0.500)
La (0.000, 0.000, 0.000)
La (0.750, 0.750, 0.750)
Ru (0.250, 0.250, 0.250)

=====

Record 2
Compound: La4AgRu
Source: Alexandria via LeMat-Bulk
Functional: PBE
Structure: optimized geometry

Output
Its space group is F-43m, No. 216. The energy above the most stable polymorph in this dataset comes out at 0 meV/atom.

a b c (Å): 9.985 9.985 9.985
angles (deg): 60.00 60.00 60.00
Sites, in units of the cell vectors:
La (0.402, 0.402, 0.402)
La (0.794, 0.402, 0.402)
La (0.402, 0.794, 0.402)
La (0.402, 0.402, 0.794)
La (0.561, 0.561, 0.939)
La (0.939, 0.939, 0.561)
La (0.561, 0.939, 0.561)
La (0.939, 0.561, 0.939)
La (0.939, 0.561, 0.561)
La (0.561, 0.939, 0.939)
La (0.191, 0.191, 0.809)
La (0.809, 0.809, 0.191)
La (0.191, 0.809, 0.191)
La (0.809, 0.191, 0.809)
La (0.809, 0.191, 0.191)
La (0.191, 0.809, 0.809)
Ag (0.170, 0.170, 0.170)
Ag (0.490, 0.170, 0.170)
Ag (0.170, 0.490, 0.170)
Ag (0.170, 0.170, 0.490)
Ru (0.613, 0.613, 0.613)
Ru (0.162, 0.613, 0.613)
Ru (0.613, 0.162, 0.613)
Ru (0.613, 0.613, 0.162)

=====

Record 3
Compound: La2AgRu2
Source: Alexandria via LeMat-Bulk
Functional: PBE
Structure: optimized geometry

Output
Its space group is P4/mbm, No. 127.

a b c (Å): 7.402 7.402 4.126
angles (deg): 90.00 90.00 90.00
Sites, in units of the cell vectors:
Ru (0.374, 0.874, 0.000)
Ru (0.874, 0.626, 0.000)
Ru (0.626, 0.126, 0.000)
Ru (0.126, 0.374, 0.000)
Ag (0.000, 0.000, 0.000)
Ag (0.500, 0.500, 0.000)
La (0.180, 0.680, 0.500)
La (0.680, 0.820, 0.500)
La (0.820, 0.320, 0.500)
La (0.320, 0.180, 0.500)

=====

We obtain energy of formation from the pure elements values of 0.001; -0.256; -0.098 eV/atom for the records listed above, in that order.
We obtain total magnetic moment values of 0.0; 0.0; 0.0 Bohr magnetons per cell for the records listed above, in that order.